(a)
Entry from the Alexandria database: an optimized crystal structure of DyEr5Th (PBE).

The structure belongs to space group Imm2 (No. 44); the cell edges are 6.493, 6.534 and 10.446 Å and the angles 90.00°, 90.00° and 90.00°. The distinct sites, in fractional coordinates, are Dy at (0.000, 0.000, 0.000), Er at (0.000, 0.228, 0.653), Er at (0.000, 0.500, 0.100), Er at (0.228, 0.000, 0.349) and Th at (0.000, 0.500, 0.392).

As for the crystal system: orthorhombic. For the density of states at the Fermi level, the calculation gives 19.4 states/eV per cell. For the total moment, the calculation gives 0.0 μB per cell.

=====

(b)
Entry from the Alexandria database: an optimized crystal structure of DyEr5Th (PBE).

The structure belongs to space group C2/c (No. 15); the cell edges are 11.045, 6.399 and 12.708 Å and the angles 90.00°, 94.75° and 90.00°. The distinct sites, in fractional coordinates, are Dy at (0.000, 0.241, 0.250), Er at (0.000, 0.247, 0.750), Er at (0.162, 0.002, 0.560), Er at (0.238, 0.497, 0.178) and Th at (0.000, 0.500, 0.000).

As for the crystal system: monoclinic. For the density of states at the Fermi level, the calculation gives 48.4 states/eV per cell. For the total moment, the calculation gives 0.0 μB per cell.

=====

Which structure is the least stable? The one labeled (a).

=====

(a)
Entry from the Alexandria database: an optimized crystal structure of Dy4Er3Th2 (PBE).

The structure belongs to space group C2/c (No. 15); the cell edges are 16.088, 11.646 and 6.104 Å and the angles 90.00°, 97.45° and 90.00°. The distinct sites, in fractional coordinates, are Dy at (0.049, 0.138, 0.018), Dy at (0.217, 0.364, 0.846), Er at (0.000, 0.392, 0.750), Er at (0.167, 0.106, 0.586) and Th at (0.112, 0.361, 0.313).

As for the crystal system: monoclinic. For the density of states at the Fermi level, the calculation gives 50.8 states/eV per cell. For the total moment, the calculation gives 0.0 μB per cell.

=====

(b)
Entry from the Alexandria database: an optimized crystal structure of Dy4Er3Th2 (PBE).

The structure belongs to space group P3m1 (No. 156); the cell edges are 3.5431, 3.5431 and 26.3058 Å and the angles 90.00°, 90.00° and 120.00°. The distinct sites, in fractional coordinates, are Dy at (0.0000, 0.0000, 0.0000), Dy at (0.0000, 0.0000, 0.2137), Dy at (0.3333, 0.6667, 0.3223), Dy at (0.3333, 0.6667, 0.5380), Er at (0.0000, 0.0000, 0.4297), Er at (0.3333, 0.6667, 0.1058), Er at (0.3333, 0.6667, 0.7602), Th at (0.0000, 0.0000, 0.6488) and Th at (0.0000, 0.0000, 0.8705).

As for the crystal system: trigonal. For the density of states at the Fermi level, the calculation gives 17.0 states/eV per cell. For the total moment, the calculation gives 0.0 μB per cell.

=====

Which structure is the least stable? The one labeled (a).

=====

(a)
Entry from the Alexandria database: an optimized crystal structure of Dy2Er7Th2 (PBE).

The structure belongs to space group C2/m (No. 12); the cell edges are 11.228, 11.450 and 5.963 Å and the angles 90.00°, 113.67° and 90.00°. The distinct sites, in fractional coordinates, are Dy at (0.236, 0.000, 0.087), Er at (0.000, 0.000, 0.500), Er at (0.092, 0.500, 0.306), Er at (0.173, 0.234, 0.667) and Th at (0.000, 0.212, 0.000).

As for the crystal system: monoclinic. For the density of states at the Fermi level, the calculation gives 32.1 states/eV per cell. For the total moment, the calculation gives 0.0 μB per cell.

=====

(b)
Entry from the Alexandria database: an optimized crystal structure of Dy2Er7Th2 (PBE).

The structure belongs to space group C2/m (No. 12); the cell edges are 11.029, 11.374 and 6.075 Å and the angles 90.00°, 113.56° and 90.00°. The distinct sites, in fractional coordinates, are Dy at (0.000, 0.215, 0.000), Er at (0.000, 0.000, 0.500), Er at (0.173, 0.238, 0.673), Er at (0.238, 0.000, 0.079) and Th at (0.086, 0.500, 0.308).

As for the crystal system: monoclinic. For the density of states at the Fermi level, the calculation gives 34.1 states/eV per cell. For the total moment, the calculation gives 0.0 μB per cell.

=====

Which structure is the least stable? The one labeled (a).

=====

(a)
Entry from the Alexandria database: an optimized crystal structure of Dy6Er3Th (PBE).

The structure belongs to space group R32 (No. 155, hexagonal axes); the cell edges are 9.7555, 9.7555 and 11.8115 Å and the angles 90.00°, 90.00° and 120.00°. The distinct sites, in fractional coordinates, are Dy at (0.0000, 0.3328, 0.0000), Dy at (0.0000, 0.6644, 0.5000), Er at (0.0000, 0.0000, 0.2579), Er at (0.0000, 0.0000, 0.5000) and Th at (0.0000, 0.0000, 0.0000).

As for the crystal system: trigonal. For the density of states at the Fermi level, the calculation gives 55.4 states/eV per cell. For the total moment, the calculation gives 0.0 μB per cell.

=====

(b)
Entry from the Alexandria database: an optimized crystal structure of Dy6Er3Th (PBE).

The structure belongs to space group Cmc2_1 (No. 36); the cell edges are 11.074, 18.817 and 6.173 Å and the angles 90.00°, 90.00° and 90.00°. The distinct sites, in fractional coordinates, are Dy at (0.000, 0.046, 0.000), Dy at (0.000, 0.275, 0.732), Dy at (0.164, 0.455, 0.626), Dy at (0.246, 0.290, 0.460), Er at (0.000, 0.388, 0.159), Er at (0.172, 0.110, 0.549) and Th at (0.000, 0.206, 0.231).

As for the crystal system: orthorhombic. For the density of states at the Fermi level, the calculation gives 56.7 states/eV per cell. For the total moment, the calculation gives 0.0 μB per cell.

=====

Which structure is the least stable? The one labeled (a).

=====

(a)
Entry from the Alexandria database: an optimized crystal structure of Dy4ErTh (PBE).

The structure belongs to space group C2/m (No. 12); the cell edges are 15.333, 3.558 and 7.088 Å and the angles 90.00°, 103.34° and 90.00°. The distinct sites, in fractional coordinates, are Dy at (0.163, 0.000, 0.335), Dy at (0.165, 0.000, 0.829), Er at (0.000, 0.500, 0.000) and Th at (0.000, 0.500, 0.500).

As for the crystal system: monoclinic. For the density of states at the Fermi level, the calculation gives 14.6 states/eV per cell. For the total moment, the calculation gives 0.0 μB per cell.

=====

(b)
Entry from the Alexandria database: an optimized crystal structure of Dy4ErTh (PBE).

The structure belongs to space group P2_1/m (No. 11); the cell edges are 8.421, 5.564 and 8.421 Å and the angles 90.00°, 102.44° and 90.00°. The distinct sites, in fractional coordinates, are Dy at (0.013, 0.250, 0.157), Dy at (0.272, 0.250, 0.897), Dy at (0.344, 0.250, 0.487), Dy at (0.397, 0.750, 0.772), Er at (0.326, 0.750, 0.174) and Th at (0.060, 0.750, 0.441).

As for the crystal system: monoclinic. For the density of states at the Fermi level, the calculation gives 19.5 states/eV per cell. For the total moment, the calculation gives 0.0 μB per cell.

=====

Which structure is the least stable? The one labeled (b).

=====

(a)
Entry from the Alexandria database: an optimized crystal structure of DyEr6Th4 (PBE).

The structure belongs to space group I-42m (No. 121); the cell edges are 7.822, 7.822 and 12.900 Å and the angles 90.00°, 90.00° and 90.00°. The distinct sites, in fractional coordinates, are Dy at (0.000, 0.000, 0.000), Er at (0.000, 0.500, 0.000), Er at (0.246, 0.246, 0.681) and Th at (0.168, 0.168, 0.426).

As for the crystal system: tetragonal. For the density of states at the Fermi level, the calculation gives 29.8 states/eV per cell. For the total moment, the calculation gives 0.0 μB per cell.

=====

(b)
Entry from the Alexandria database: an optimized crystal structure of DyEr6Th4 (PBE).

The structure belongs to space group Immm (No. 71); the cell edges are 3.410, 5.809 and 35.585 Å and the angles 90.00°, 90.00° and 90.00°. The distinct sites, in fractional coordinates, are Dy at (0.000, 0.000, 0.000), Er at (0.000, 0.500, 0.131), Er at (0.000, 0.500, 0.233), Er at (0.000, 0.500, 0.404), Th at (0.000, 0.000, 0.182) and Th at (0.000, 0.000, 0.456).

As for the crystal system: orthorhombic. For the density of states at the Fermi level, the calculation gives 31.2 states/eV per cell. For the total moment, the calculation gives 0.0 μB per cell.

=====

Which structure is the least stable? The one labeled (a).

=====

(a)
Entry from the Alexandria database: an optimized crystal structure of Dy6Er4Th (PBE).

The structure belongs to space group Cmcm (No. 63); the cell edges are 5.694, 9.594 and 25.508 Å and the angles 90.00°, 90.00° and 90.00°. The distinct sites, in fractional coordinates, are Dy at (0.000, 0.000, 0.000), Dy at (0.000, 0.030, 0.250), Dy at (0.000, 0.307, 0.601), Dy at (0.000, 0.363, 0.182), Er at (0.000, 0.033, 0.122), Er at (0.000, 0.344, 0.042) and Th at (0.000, 0.306, 0.750).

As for the crystal system: orthorhombic. For the density of states at the Fermi level, the calculation gives 82.7 states/eV per cell. For the total moment, the calculation gives 0.0 μB per cell.

=====

(b)
Entry from the Alexandria database: an optimized crystal structure of Dy6Er4Th (PBE).

The structure belongs to space group I-42m (No. 121); the cell edges are 7.489, 7.489 and 13.218 Å and the angles 90.00°, 90.00° and 90.00°. The distinct sites, in fractional coordinates, are Dy at (0.000, 0.500, 0.000), Dy at (0.235, 0.235, 0.183), Er at (0.167, 0.167, 0.422) and Th at (0.000, 0.000, 0.000).

As for the crystal system: tetragonal. For the density of states at the Fermi level, the calculation gives 28.3 states/eV per cell. For the total moment, the calculation gives 0.0 μB per cell.

=====

Which structure is the least stable? The one labeled (b).

=====

(a)
Entry from the Alexandria database: an optimized crystal structure of DyEr2Ti (PBE).

The structure belongs to space group R-3m (No. 166, hexagonal axes); the cell edges are 3.3360, 3.3360 and 34.8803 Å and the angles 90.00°, 90.00° and 120.00°. The distinct sites, in fractional coordinates, are Dy at (0.0000, 0.0000, 0.0000), Er at (0.0000, 0.0000, 0.4160) and Ti at (0.0000, 0.0000, 0.5000).

As for the crystal system: trigonal. For the density of states at the Fermi level, the calculation gives 17.8 states/eV per cell. For the total moment, the calculation gives 5.7 μB per cell.

=====

(b)
Entry from the Alexandria database: an optimized crystal structure of DyEr2Ti (PBE).

The structure belongs to space group R3m (No. 160, hexagonal axes); the cell edges are 3.3977, 3.3977 and 32.4613 Å and the angles 90.00°, 90.00° and 120.00°. The distinct sites, in fractional coordinates, are Dy at (0.0000, 0.0000, 0.0000), Er at (0.0000, 0.0000, 0.5756), Er at (0.0000, 0.0000, 0.7577) and Ti at (0.0000, 0.0000, 0.1662).

As for the crystal system: trigonal. For the density of states at the Fermi level, the calculation gives 19.0 states/eV per cell. For the total moment, the calculation gives 0.0 μB per cell.

=====

Which structure is the least stable? The one labeled (a).

=====

(a)
Entry from the Alexandria database: an optimized crystal structure of Dy2ErTl (PBE).

The structure belongs to space group Cmcm (No. 63); the cell edges are 3.628, 12.782 and 10.217 Å and the angles 90.00°, 90.00° and 90.00°. The distinct sites, in fractional coordinates, are Dy at (0.000, 0.130, 0.033), Er at (0.000, 0.460, 0.250) and Tl at (0.000, 0.253, 0.750).

As for the crystal system: orthorhombic. For the density of states at the Fermi level, the calculation gives 20.6 states/eV per cell. For the total moment, the calculation gives 0.4 μB per cell.

=====

(b)
Entry from the Alexandria database: an optimized crystal structure of Dy2ErTl (PBE).

The structure belongs to space group R-3m (No. 166, hexagonal axes); the cell edges are 3.5464, 3.5464 and 33.0920 Å and the angles 90.00°, 90.00° and 120.00°. The distinct sites, in fractional coordinates, are Dy at (0.0000, 0.0000, 0.2471), Er at (0.0000, 0.0000, 0.0000) and Tl at (0.0000, 0.0000, 0.5000).

As for the crystal system: trigonal. For the density of states at the Fermi level, the calculation gives 12.6 states/eV per cell. For the total moment, the calculation gives 0.0 μB per cell.

=====

Which structure is the least stable? The one labeled (b).

=====

(a)
Entry from the Alexandria database: an optimized crystal structure of Dy12Er6Tl (PBE).

The structure belongs to space group R-3 (No. 148, hexagonal axes); the cell edges are 15.3087, 15.3087 and 8.6037 Å and the angles 90.00°, 90.00° and 120.00°. The distinct sites, in fractional coordinates, are Dy at (0.0351, 0.2832, 0.3370), Dy at (0.0706, 0.5614, 0.6646), Er at (0.0179, 0.1391, 0.6662) and Tl at (0.0000, 0.0000, 0.0000).

As for the crystal system: trigonal. For the density of states at the Fermi level, the calculation gives 76.6 states/eV per cell. For the total moment, the calculation gives 0.0 μB per cell.

=====

(b)
Entry from the Alexandria database: an optimized crystal structure of Dy12Er6Tl (PBE).

The structure belongs to space group R-3 (No. 148, hexagonal axes); the cell edges are 11.7737, 11.7737 and 14.8988 Å and the angles 90.00°, 90.00° and 120.00°. The distinct sites, in fractional coordinates, are Dy at (0.0037, 0.1774, 0.3137), Dy at (0.0453, 0.8488, 0.9155), Er at (0.0195, 0.4290, 0.1874) and Tl at (0.0000, 0.0000, 0.5000).

As for the crystal system: trigonal. For the density of states at the Fermi level, the calculation gives 85.3 states/eV per cell. For the total moment, the calculation gives 0.0 μB per cell.

=====

Which structure is the least stable? The one labeled (b).